CaLaNiO4 | PBE+U | optimized geometry

Cell: 6.6311 6.6311 6.6311 Å, 146.46 146.46 48.17°
Last column: nearest neighbours and their distance in Å.
Sites, in units of the cell vectors:
Ca 0.0000 0.0000 0.0000  5 O 2.34-2.54
La 0.2792 0.2792 0.0000  1 O 2.29
Ni 0.6330 0.6330 0.0000  6 O 1.91-2.11
O 0.1378 0.6378 0.5000  2 Ni 1.91
O 0.4681 0.4681 0.0000  1 Ni 2.00
O 0.6378 0.1378 0.5000  2 Ni 1.91
O 0.8070 0.8070 0.0000  1 Ni 2.11, 1 Ca 2.34

Results
Space-group type: No. 107
ρ: 5650 kg/m3
Total DFT energy (no corrections): -45.79 eV per cell
Magnetization: 0.143 μB per atom